# 1
! PBE Pr2BO4, optimized geometry; values from VASP
&SYSTEM
  ibrav = 0, nat = 7, ntyp = 3
/
ATOMIC_SPECIES
Pr 140.91 Pr.upf
O 16.00 O.upf
B 10.81 B.upf
CELL_PARAMETERS angstrom
3.9875 0.0000 0.0000
0.0000 3.9875 0.0000
-1.9937 -1.9937 7.2824
ATOMIC_POSITIONS angstrom
Pr 0.0000 0.0000 4.8689
Pr 1.9937 1.9937 2.4134
O 0.0000 1.9937 3.6412
O 0.0000 0.0000 1.2873
O 1.9937 0.0000 3.6412
B 0.0000 0.0000 0.0000
O 1.9937 1.9937 5.9951
! Space-group type: I4/mmm
! Formation energy (no corrections): -62.95 kcal/mol of atoms

=====

# 2
! PBE Ac2HSe, optimized geometry; values from VASP
&SYSTEM
  ibrav = 0, nat = 4, ntyp = 3
/
ATOMIC_SPECIES
Ac 227.00 Ac.upf
H 1.01 H.upf
Se 78.96 Se.upf
CELL_PARAMETERS angstrom
3.8557 0.0000 0.0000
0.0000 5.2139 0.0000
0.0000 0.0000 5.2139
ATOMIC_POSITIONS angstrom
Ac 0.0000 2.6070 0.0000
H 1.9278 0.0000 0.0000
Ac 0.0000 0.0000 2.6070
Se 1.9278 2.6070 2.6070
! Space-group type: P4/mmm
! E above lowest polymorph: 1.30 eV/f.u.

=====

# 3
! PBE LiVZn, optimized geometry; values from VASP
&SYSTEM
  ibrav = 0, nat = 6, ntyp = 3
/
ATOMIC_SPECIES
Zn 65.41 Zn.upf
V 50.94 V.upf
Li 6.94 Li.upf
CELL_PARAMETERS angstrom
-1.5340 -2.5065 1.5442
1.8652 0.5198 2.6965
-6.2668 5.8153 3.2139
ATOMIC_POSITIONS angstrom
Zn -2.9678 1.9143 3.7273
V -5.0383 5.8005 4.4103
V -1.0629 -0.9786 0.9239
Li -5.4661 3.1073 3.1820
Zn -3.1334 2.9076 1.6069
Li -0.6351 1.7146 2.1522
! Space-group type: P4/nmm
! ΔE_f: 0.391 eV per atom
! E above lowest polymorph: 1.15 eV/f.u.

=====

# 4
! PBE DyPuPb, optimized geometry; values from VASP
&SYSTEM
  ibrav = 0, nat = 6, ntyp = 3
/
ATOMIC_SPECIES
Pb 207.20 Pb.upf
Pu 244.00 Pu.upf
Dy 162.50 Dy.upf
CELL_PARAMETERS angstrom
-3.4481 4.0526 1.5198
-2.0247 -4.7971 -1.8738
-0.0726 -2.2833 5.9241
ATOMIC_POSITIONS angstrom
Pb -1.5411 -1.1619 4.6371
Pu -1.0123 -2.3986 -0.9369
Pu -1.0486 -3.5402 2.0252
Dy -4.0402 -3.0090 3.8945
Dy -1.5050 -0.0188 1.6756
Pb -4.0042 -1.8659 0.9330
! Space-group type: P6_3/mmc
! ΔE_f: -0.300 eV per atom
! E above lowest polymorph: 0.00 eV/f.u.

=====

# 5
! PBE CaZnCl2, optimized geometry; values from VASP
&SYSTEM
  ibrav = 0, nat = 4, ntyp = 3
/
ATOMIC_SPECIES
Zn 65.41 Zn.upf
Cl 35.45 Cl.upf
Ca 40.08 Ca.upf
CELL_PARAMETERS angstrom
3.9874 0.0000 0.0000
0.0000 3.9868 0.0000
0.0000 0.0000 8.6686
ATOMIC_POSITIONS angstrom
Zn 0.0000 0.0000 4.0269
Cl 0.0000 0.0000 7.6715
Ca 1.9937 1.9934 8.1105
Cl 1.9937 1.9934 1.8626
! Space-group type: P4mm
! Formation energy (no corrections): -28.42 kcal/mol of atoms
! E above lowest polymorph: 1.22 eV/f.u.

=====

# 6
! PBE K2CrIn, optimized geometry; values from VASP
&SYSTEM
  ibrav = 0, nat = 4, ntyp = 3
/
ATOMIC_SPECIES
K 39.10 K.upf
Cr 52.00 Cr.upf
In 114.82 In.upf
CELL_PARAMETERS angstrom
-4.0602 -8.8894 -7.3617
-0.4620 -9.2220 -8.0276
-1.9614 -10.9287 -5.1397
ATOMIC_POSITIONS angstrom
K -3.2473 -14.5449 -10.2821
Cr -1.6209 -7.2600 -5.1323
K -6.4780 -29.0152 -20.5114
In -4.8626 -21.7801 -15.3968
! Space-group type: R-3m
! ΔE_f: 0.709 eV per atom

=====

Computed Fermi-level density of states (states/eV/cell) in order:
1.90; 3.46; 4.38; 13.73; 0.02; 3.33